# La2Ni4Sn3Pd

La2Ni4Sn3Pd after structural relaxation (GGA-PBE, Alexandria via LeMat-Bulk).

Output
Mass density: 8.1 g/cm3
Total DFT energy (no corrections): -55.38 eV per formula unit
Calculated formation energy: -0.520 eV per atom

The structure in POSCAR format:
```
La2Ni4Sn3Pd
1.0
-0.5863 -4.2219 0.6939
4.2475 -0.4901 0.6066
-1.2783 1.9010 10.4857
Sn La Ni Pd
3 2 4 1
Cartesian
-0.6391 0.9505 5.2428
-1.4123 -0.4465 9.5277
1.9647 -0.0085 1.6082
-0.6214 -1.6227 3.0398
1.1737 1.1678 8.0962
1.6613 0.4427 4.0967
0.0000 0.0000 0.0000
-1.1090 -0.8976 7.0393
1.8306 -2.3560 0.6503
1.1915 -1.4055 5.8931
```